Here is ZrCd2Re2 after structural relaxation from Alexandria. Energies are from GGA-PBE.

Output
Offset from the most stable computed form (kcal/mol of atoms): 0.85
VASP energy (eV/atom): -6.424
ΔE_f (eV/atom): 0.631

Unit cell a=3.7571 b=3.7571 c=13.7629 alpha=90.00 beta=90.00 gamma=90.00
With the nearest neighbours (Å) after each atom.
Space group I4/mmm (No. 139)
Symmetry-distinct sites (fractional):
Zr: 0.0000 0.0000 0.0000  8 Cd 2.99
Cd: 0.0000 0.0000 0.4011  1 Cd 2.72, 4 Re 2.80, 4 Zr 2.99
Re: 0.0000 0.5000 0.2500  4 Re 2.66, 4 Cd 2.80